Entry from Alexandria via LeMat-Bulk: an optimized crystal structure of RbHg2Mo2O7 (GGA+U).

The total energy is -5.474 eV per atom. As for the space group: No. 155. The magnetization comes out at 0.00 μB/f.u. The calculation puts the volume at 22.41 A^3/atom.

```
data_RbHg2Mo2O7
_cell_length_a 5.950
_cell_length_b 5.950
_cell_length_c 9.421
_cell_angle_alpha 71.59
_cell_angle_beta 71.59
_cell_angle_gamma 60.00
_space_group_name_H-M_alt 'P 1'
_space_group_IT_number 1
loop_
_space_group_symop_operation_xyz
'x,y,z'
loop_
_atom_site_label
_atom_site_type_symbol
_atom_site_fract_x
_atom_site_fract_y
_atom_site_fract_z
Hg1 Hg 0.312 0.312 0.065
Hg2 Hg 0.688 0.688 0.935
O1 O 0.611 0.169 0.286
O2 O 0.934 0.611 0.286
O3 O 0.389 0.066 0.714
O4 O 0.169 0.934 0.286
O5 O 0.831 0.389 0.714
O6 O 0.066 0.831 0.714
O7 O 0.000 0.000 0.000
Rb1 Rb 0.500 0.500 0.500
Mo1 Mo 0.927 0.927 0.219
Mo2 Mo 0.073 0.073 0.781
```